# La2SbPd2

A relaxed La2SbPd2 crystal (PBE-GGA, Alexandria via LeMat-Bulk).

Structure (POSCAR):
```
La2SbPd2
1.0
7.7301 0.0000 0.0000
0.0000 7.7301 0.0000
0.0000 0.0000 4.1686
Sb Pd La
2 4 4
Direct
0.0000 0.0000 0.0000
0.5000 0.5000 0.0000
0.3741 0.8741 0.0000
0.8741 0.6259 0.0000
0.6259 0.1259 0.0000
0.1259 0.3741 0.0000
0.1809 0.6809 0.5000
0.6809 0.8191 0.5000
0.8191 0.3191 0.5000
0.3191 0.1809 0.5000
```

Output
As for the volume: 24.9 Å³ per atom. As for the space group: No. 127. As for the raw formation energy: -0.99 eV per atom. As for the crystal system: tetragonal. The value obtained for the energy above the most stable polymorph in this dataset is 0 meV/atom. Its electronic total energy is -58.6 eV per cell.